(1)
VASP calculation (PBE) on Y4BeCo after structural relaxation.

abc: 6.0781 6.0781 6.0781
angles: 60.00 60.00 60.00
With the nearest neighbours (Å) after each atom.
Element x y z (fractional)
Y (0.3749, 0.3749, 0.8754)  6 Y 3.04
Y (0.8754, 0.3749, 0.3749)  6 Y 3.04
Y (0.3749, 0.3749, 0.3749)  6 Y 3.04
Y (0.3749, 0.8754, 0.3749)  6 Y 3.04
Co (0.0000, 0.0000, 0.0000)  12 Y 3.56, 4 Be 3.72
Be (0.7500, 0.7500, 0.7500)  12 Y 3.56, 4 Co 3.72

Calculated values
As for the electronic total energy: -5.081 eV per atom. The value obtained for the formation energy is 1.03 eV per atom.


(2)
VASP calculation (PBE) on Sr2HgBiO5 after structural relaxation.

abc: 3.7564 7.4700 11.1081
angles: 90.00 90.00 104.56
With the nearest neighbours (Å) after each atom.
Element x y z (fractional)
O (0.6786, 0.3572, 0.8707)  1 Bi 2.32, 2 Hg 2.51
O (0.3214, 0.6428, 0.3707)  1 Bi 2.32, 2 Hg 2.51
O (0.6081, 0.2162, 0.5323)  1 Bi 2.21, 1 Hg 2.26
O (0.0554, 0.1109, 0.0605)  2 Bi 2.17
O (0.5148, 0.0296, 0.2871)  1 Bi 2.12
O (0.4852, 0.9704, 0.7871)  1 Bi 2.12
O (0.3919, 0.7838, 0.0323)  1 Bi 2.21, 1 Hg 2.26
O (0.9446, 0.8891, 0.5605)  2 Bi 2.17
O (0.2783, 0.5565, 0.6531)  3 Sr 2.45-2.49, 2 Hg 2.54
O (0.7217, 0.4435, 0.1531)  3 Sr 2.45-2.49, 2 Hg 2.54
Hg (0.7628, 0.5256, 0.5002)  3 O 2.26-2.51
Hg (0.2372, 0.4744, 0.0002)  3 O 2.26-2.51
Sr (0.1481, 0.2961, 0.2645)  6 O 2.49-2.77
Sr (0.1111, 0.2223, 0.6897)  3 O 2.45-2.57
Sr (0.8889, 0.7777, 0.1897)  3 O 2.45-2.57
Sr (0.8519, 0.7039, 0.7645)  6 O 2.49-2.77
Bi (0.5361, 0.0722, 0.9658)  5 O 2.12-2.32
Bi (0.4639, 0.9278, 0.4658)  5 O 2.12-2.32

Calculated values
As for the electronic total energy: -5.182 eV per atom. The calculation puts the uncorrected formation energy at -1.59 eV/atom.


(3)
VASP calculation (PBE) on TlCoTc2 after structural relaxation.

abc: 5.0825 5.0825 5.0562
angles: 136.46 136.46 63.75
With the nearest neighbours (Å) after each atom.
Element x y z (fractional)
Tc (0.5000, 0.5000, 0.0000)  4 Tc 2.63-2.68, 4 Co 2.86, 4 Tl 2.86
Tc (0.0000, 0.0000, 0.0000)  4 Tc 2.63-2.68, 4 Co 2.86, 4 Tl 2.86
Co (0.2500, 0.7500, 0.5000)  4 Tl 2.63-2.68, 8 Tc 2.86
Tl (0.7500, 0.2500, 0.5000)  4 Co 2.63-2.68, 8 Tc 2.86

Calculated values
The distance to the lowest polymorph of the same formula comes out at 0.173 eV/atom. As for the electronic total energy: -6.971 eV per atom. The value obtained for the formation energy is 0.58 eV per atom.


(4)
VASP calculation (PBE) on Hf6SnRu after structural relaxation.

abc: 8.1138 7.5663 5.5462
angles: 46.97 42.99 57.58
With the nearest neighbours (Å) after each atom.
Element x y z (fractional)
Hf (0.4401, 0.7622, 0.8202)  1 Ru 2.71, 2 Hf 2.79-2.93
Hf (0.2377, 0.0221, 0.3001)  1 Ru 2.71, 2 Hf 2.79-2.93
Hf (0.9773, 0.5602, 0.2248)  1 Ru 2.71, 2 Hf 2.79-2.93
Hf (0.5599, 0.2378, 0.1798)  1 Ru 2.71, 2 Hf 2.79-2.93
Hf (0.7623, 0.9779, 0.6999)  1 Ru 2.71, 2 Hf 2.79-2.93
Hf (0.0227, 0.4398, 0.7752)  1 Ru 2.71, 2 Hf 2.79-2.93
Sn (0.5000, 0.5000, 0.5000)  12 Hf 3.13-3.14
Ru (0.0000, 0.0000, 0.0000)  6 Hf 2.71

Calculated values
As for the electronic total energy: -9.358 eV per atom. The value obtained for the formation energy is -0.23 eV per atom.


(5)
VASP calculation (PBE) on LaSmTmTl after structural relaxation.

abc: 5.5112 5.5112 5.5132
angles: 119.99 119.99 90.00
With the nearest neighbours (Å) after each atom.
Element x y z (fractional)
Tm (0.0000, 0.0000, 0.0000)  4 Tl 3.38, 4 La 3.38
Sm (0.5000, 0.5000, 0.0000)  4 Tl 3.38, 4 La 3.38
La (0.7500, 0.2500, 0.5000)  4 Tm 3.38, 4 Sm 3.38
Tl (0.2500, 0.7500, 0.5000)  4 Tm 3.38, 4 Sm 3.38

Calculated values
The distance to the lowest polymorph of the same formula comes out at 0.079 eV/atom. As for the electronic total energy: -4.126 eV per atom. The value obtained for the formation energy is -0.01 eV per atom.


(6)
VASP calculation (PBE) on CaSc2HPb after structural relaxation.

abc: 4.6413 4.6413 4.7687
angles: 90.00 90.00 90.00
With the nearest neighbours (Å) after each atom.
Element x y z (fractional)
Sc (0.0000, 0.5000, 0.0000)  2 H 2.32
Sc (0.5000, 0.0000, 0.0000)  2 H 2.32
Ca (0.0000, 0.0000, 0.5000)  2 H 2.38
H (0.0000, 0.0000, 0.0000)  4 Sc 2.32, 2 Ca 2.38
Pb (0.5000, 0.5000, 0.5000)  4 Ca 3.28, 8 Sc 3.33

Calculated values
As for the electronic total energy: -4.645 eV per atom.


(7)
VASP calculation (PBE) on TcP2Os after structural relaxation.

abc: 4.1764 4.1764 4.1764
angles: 60.00 60.00 60.00
With the nearest neighbours (Å) after each atom.
Element x y z (fractional)
P (0.7500, 0.7500, 0.7500)  4 Tc 2.56, 4 Os 2.56
P (0.2500, 0.2500, 0.2500)  4 Tc 2.56, 4 Os 2.56
Tc (0.0000, 0.0000, 0.0000)  8 P 2.56
Os (0.5000, 0.5000, 0.5000)  8 P 2.56

Calculated values
The distance to the lowest polymorph of the same formula comes out at 0.128 eV/atom. As for the electronic total energy: -8.281 eV per atom. The value obtained for the formation energy is -0.18 eV per atom.


(8)
VASP calculation (PBE) on Rb2Li3Cl5 after structural relaxation.

abc: 6.9321 10.6079 10.6079
angles: 47.87 70.93 70.93
With the nearest neighbours (Å) after each atom.
Element x y z (fractional)
Cl (0.5764, 0.7964, 0.0508)  3 Li 2.47-2.52
Cl (0.4395, 0.3105, 0.3105)  2 Li 2.61
Cl (0.9236, 0.9492, 0.2036)  3 Li 2.47-2.52
Cl (0.7500, 0.5000, 0.5000)  4 Li 2.46
Cl (0.2500, 0.5000, 0.5000)  4 Li 2.46
Cl (0.0764, 0.0508, 0.7964)  3 Li 2.47-2.52
Cl (0.9395, 0.3105, 0.3105)  2 Li 2.61
Cl (0.0605, 0.6895, 0.6895)  2 Li 2.61
Cl (0.4236, 0.2036, 0.9492)  3 Li 2.47-2.52
Cl (0.5605, 0.6895, 0.6895)  2 Li 2.61
Rb (0.8188, 0.3621, 0.0004)  5 Cl 3.25-3.30
Rb (0.6812, 0.9996, 0.6379)  5 Cl 3.25-3.30
Rb (0.3188, 0.0004, 0.3621)  5 Cl 3.25-3.30
Rb (0.1812, 0.6379, 0.9996)  5 Cl 3.25-3.30
Li (0.9114, 0.6699, 0.5073)  5 Cl 2.46-2.61
Li (0.5886, 0.4927, 0.3301)  5 Cl 2.46-2.61
Li (0.4114, 0.5073, 0.6699)  5 Cl 2.46-2.61
Li (0.7500, 0.0000, 0.0000)  4 Cl 2.47
Li (0.0886, 0.3301, 0.4927)  5 Cl 2.46-2.61
Li (0.2500, 0.0000, 0.0000)  4 Cl 2.47

Calculated values
As for the electronic total energy: -3.510 eV per atom. The calculation puts the uncorrected formation energy at -1.82 eV/atom.